Material: NbBiMo3
Method: DFT, PBE
State: optimized geometry

- relative energy among the computed polymorphs (meV/atom) = 0
- formation energy (kcal/mol of atoms) = 38.22
- DFT total energy (eV per atom) = -7.631

a = 4.843 Å, b = 4.843 Å, c = 4.843 Å
α = 90.00°, β = 90.00°, γ = 90.00°
Space group Pm-3m (No. 221)
Inequivalent atoms, fractional coordinates:
Nb  0.000  0.000  0.000
Bi  0.500  0.500  0.500
Mo  0.000  0.000  0.500

---

Material: RbCoMo2H
Method: DFT, PBE
State: optimized geometry

- DFT total energy (eV per atom) = -5.214

a = 3.863 Å, b = 3.863 Å, c = 5.369 Å
α = 90.00°, β = 90.00°, γ = 90.00°
Space group P4/mmm (No. 123)
Inequivalent atoms, fractional coordinates:
Rb  0.000  0.000  0.000
Co  0.500  0.500  0.000
Mo  0.000  0.500  0.500
H  0.000  0.000  0.500

---

Material: MgBeO2
Method: DFT, PBE
State: optimized geometry

- formation energy without anion corrections (eV/atom) = -1.4551
- DFT total energy (eV per atom) = -5.264

a = 5.045 Å, b = 5.045 Å, c = 5.045 Å
α = 90.00°, β = 90.00°, γ = 90.00°
Space group Fm-3m (No. 225)
Inequivalent atoms, fractional coordinates:
Mg  0.000  0.000  0.000
Be  0.000  0.000  0.500
O  0.250  0.250  0.250

---

Material: NdZrZnIr
Method: DFT, PBE
State: optimized geometry

- formation energy (kcal/mol of atoms) = -8.57
- DFT total energy (eV per atom) = -6.234

a = 6.928 Å, b = 6.928 Å, c = 6.928 Å
α = 90.00°, β = 90.00°, γ = 90.00°
Space group F-43m (No. 216)
Inequivalent atoms, fractional coordinates:
Nd  0.000  0.000  0.000
Zr  0.000  0.000  0.500
Zn  0.250  0.250  0.750
Ir  0.250  0.250  0.250

---

Computed V, in the same sequence as the records: 114 80 32 83 Å³/f.u..
Computed DOS at the Fermi energy, in the same sequence as the records: 5.91 6.77 0.00 2.42 states/eV/f.u..